(1)
Density functional theory data (PBE) for a geometry-optimized ZnAuF structure.

The structure belongs to space group Amm2 (No. 38); the cell edges are 12.938, 2.984 and 5.177 Å and the angles 90.00°, 90.00° and 90.00°. The inequivalent atoms are Zn at (0.000, 0.000, 0.000), Zn at (0.500, 0.000, 0.149), Au at (0.342, 0.000, 0.816) and F at (0.094, 0.000, 0.333).

The value obtained for the uncorrected formation energy is -94.67 kJ/mol of atoms.


(2)
Density functional theory data (PBE) for a geometry-optimized ZnAu2F structure.

The structure belongs to space group I-42d (No. 122); the cell edges are 7.023, 7.023 and 5.420 Å and the angles 90.00°, 90.00° and 90.00°. The inequivalent atoms are Zn at (0.000, 0.000, 0.000), Au at (0.244, 0.750, 0.625) and F at (0.000, 0.000, 0.500).

The value obtained for the uncorrected formation energy is -37.41 kJ/mol of atoms.


(3)
Density functional theory data (PBE) for a geometry-optimized ZrZnAu2F structure.

The structure belongs to space group P4/mmm (No. 123); the cell edges are 5.256, 5.256 and 5.629 Å and the angles 90.00°, 90.00° and 90.00°. The inequivalent atoms are Zr at (0.000, 0.000, 0.000), Zn at (0.000, 0.000, 0.500), Au at (0.000, 0.500, 0.000) and F at (0.500, 0.500, 0.500).

The value obtained for the uncorrected formation energy is 50.87 kJ/mol of atoms.


(4)
Density functional theory data (PBE) for a geometry-optimized ZrAu3F structure.

The structure belongs to space group Pm-3m (No. 221); the cell edges are 5.299, 5.299 and 5.299 Å and the angles 90.00°, 90.00° and 90.00°. The inequivalent atoms are Zr at (0.000, 0.000, 0.000), Au at (0.000, 0.000, 0.500) and F at (0.500, 0.500, 0.500).

The value obtained for the uncorrected formation energy is 56.06 kJ/mol of atoms.


(5)
Density functional theory data (PBE) for a geometry-optimized ZrAuF2 structure.

The structure belongs to space group Fm-3m (No. 225); the cell edges are 6.137, 6.137 and 6.137 Å and the angles 90.00°, 90.00° and 90.00°. The inequivalent atoms are Zr at (0.000, 0.000, 0.000), Au at (0.000, 0.000, 0.500) and F at (0.250, 0.250, 0.250).

The value obtained for the uncorrected formation energy is -125.81 kJ/mol of atoms.


(6)
Density functional theory data (PBE) for a geometry-optimized ZrAuF2 structure.

The structure belongs to space group R-3m (No. 166, hexagonal axes); the cell edges are 2.8624, 2.8624 and 26.6520 Å and the angles 90.00°, 90.00° and 120.00°. The inequivalent atoms are Zr at (0.0000, 0.0000, 0.0000), Au at (0.0000, 0.0000, 0.5000) and F at (0.0000, 0.0000, 0.3903).

The value obtained for the uncorrected formation energy is -181.47 kJ/mol of atoms.


(7)
Density functional theory data (PBE) for a geometry-optimized ZrAuF3 structure.

The structure belongs to space group Pm-3m (No. 221); the cell edges are 4.286, 4.286 and 4.286 Å and the angles 90.00°, 90.00° and 90.00°. The inequivalent atoms are Zr at (0.000, 0.000, 0.000), Au at (0.500, 0.500, 0.500) and F at (0.000, 0.000, 0.500).

The value obtained for the uncorrected formation energy is -207.92 kJ/mol of atoms.


(8)
Density functional theory data (PBE) for a geometry-optimized ZrAuF6 structure.

The structure belongs to space group P-1 (No. 2); the cell edges are 5.350, 5.432 and 5.898 Å and the angles 88.33°, 65.86° and 62.81°. The inequivalent atoms are Zr at (0.000, 0.000, 0.000), Au at (0.000, 0.500, 0.500), F at (0.110, 0.659, 0.756), F at (0.162, 0.728, 0.224) and F at (0.428, 0.947, 0.788).

The value obtained for the uncorrected formation energy is -245.27 kJ/mol of atoms.


(9)
Density functional theory data (PBE) for a geometry-optimized ZrAu3F structure.

The structure belongs to space group Pm-3m (No. 221); the cell edges are 4.609, 4.609 and 4.609 Å and the angles 90.00°, 90.00° and 90.00°. The inequivalent atoms are Zr at (0.000, 0.000, 0.000), Au at (0.000, 0.500, 0.500) and F at (0.500, 0.500, 0.500).

The value obtained for the uncorrected formation energy is 30.36 kJ/mol of atoms.


(10)
Density functional theory data (PBE) for a geometry-optimized ZrAuF3 structure.

The structure belongs to space group Pm-3m (No. 221); the cell edges are 4.505, 4.505 and 4.505 Å and the angles 90.00°, 90.00° and 90.00°. The inequivalent atoms are Zr at (0.000, 0.000, 0.000), Au at (0.500, 0.500, 0.500) and F at (0.000, 0.500, 0.500).

The value obtained for the uncorrected formation energy is -57.65 kJ/mol of atoms.


(11)
Density functional theory data (PBE) for a geometry-optimized ZrAuF2 structure.

The structure belongs to space group I-42d (No. 122); the cell edges are 4.194, 4.194 and 14.541 Å and the angles 90.00°, 90.00° and 90.00°. The inequivalent atoms are Zr at (0.000, 0.000, 0.000), Au at (0.000, 0.000, 0.500) and F at (0.099, 0.250, 0.125).

The value obtained for the uncorrected formation energy is -171.73 kJ/mol of atoms.


(12)
Density functional theory data (PBE) for a geometry-optimized Fe3Au2 structure.

The structure belongs to space group R-3m (No. 166, hexagonal axes); the cell edges are 2.8050, 2.8050 and 32.5533 Å and the angles 90.00°, 90.00° and 120.00°. The inequivalent atoms are Fe at (0.0000, 0.0000, 0.0000), Fe at (0.0000, 0.0000, 0.3914) and Au at (0.0000, 0.0000, 0.2067).

For the formation energy, the calculation gives 1.05 eV/f.u.


| no. | spin magnetization (μB/cell) | V (Å³/f.u.) |
| --- | --- | --- |
| 1 | 0.0 | 50.0 |
| 2 | 0.0 | 66.8 |
| 3 | 0.3 | 155.5 |
| 4 | 0.0 | 148.8 |
| 5 | 0.0 | 57.8 |
| 6 | 0.0 | 63.0 |
| 7 | 0.0 | 78.7 |
| 8 | 1.0 | 136.5 |
| 9 | 2.1 | 97.9 |
| 10 | 2.2 | 91.4 |
| 11 | 0.0 | 63.9 |
| 12 | 24.1 | 73.9 |